DyEr2Mg2 after structural relaxation. Source: Alexandria, functional PBE.

a b c (Å): 4.5069 4.5069 15.3188
angles (deg): 98.46 98.46 90.00
Fractional coordinates of all 10 atoms:
Mg1 0.0746 0.0746 0.1491
Mg2 0.9254 0.9254 0.8509
Mg3 0.2500 0.7500 0.5000
Mg4 0.7500 0.2500 0.5000
Er1 0.8269 0.8269 0.6538
Er2 0.1731 0.1731 0.3462
Er3 0.0000 0.5000 0.0000
Er4 0.5000 0.0000 0.0000
Dy1 0.3868 0.3868 0.7737
Dy2 0.6132 0.6132 0.2263

Summary:
- raw total energy (eV/atom) = -3.075
- magnetic moment (μB/f.u.) = 0.0
- DFT formation energy (eV per atom) = 0.308


DyErMg14 after structural relaxation. Source: Alexandria, functional PBE.

a b c (Å): 6.9175 6.9175 7.9783
angles (deg): 90.00 90.00 89.98
Fractional coordinates of all 16 atoms:
Mg1 0.1245 0.6255 0.7606
Mg2 0.8750 0.3750 0.5000
Mg3 0.1245 0.1245 0.2393
Mg4 0.6255 0.1245 0.2394
Mg5 0.6255 0.6255 0.7607
Mg6 0.8750 0.3750 0.0000
Mg7 0.8750 0.8750 0.0000
Mg8 0.6255 0.6255 0.2393
Mg9 0.3750 0.8750 0.0000
Mg10 0.3750 0.3750 0.0000
Mg11 0.3750 0.8750 0.5000
Mg12 0.1245 0.6255 0.2394
Mg13 0.1245 0.1245 0.7607
Mg14 0.6255 0.1245 0.7606
Dy1 0.3750 0.3750 0.5000
Er1 0.8750 0.8750 0.5000

Summary:
- raw total energy (eV/atom) = -1.992
- magnetic moment (μB/f.u.) = 0.0
- DFT formation energy (eV per atom) = -0.024


Dy2Er5Mg5 after structural relaxation. Source: Alexandria, functional PBE.

a b c (Å): 5.2499 6.5654 11.2600
angles (deg): 108.28 90.00 113.57
Fractional coordinates of all 12 atoms:
Er1 0.6036 0.2072 0.2549
Er2 0.3427 0.6854 0.0156
Er3 0.3964 0.7928 0.7451
Er4 0.6573 0.3146 0.9844
Er5 0.5000 0.0000 0.5000
Mg1 0.7573 0.5146 0.7628
Mg2 0.0000 0.0000 0.0000
Mg3 0.1737 0.3473 0.4758
Mg4 0.8263 0.6527 0.5242
Mg5 0.2427 0.4854 0.2372
Dy1 0.0893 0.1786 0.7413
Dy2 0.9107 0.8214 0.2587

Summary:
- raw total energy (eV/atom) = -3.318
- magnetic moment (μB/f.u.) = 0.0
- DFT formation energy (eV per atom) = 0.014